An optimized crystal structure of Ce2Sm2O7, computed with PBEsol.

extended XYZ file:
```
22
Lattice="-3.0496 -6.9998 -1.0415 0.0302 -3.2127 -7.0043 4.5827 -6.0214 -1.4574" Properties=species:S:1:pos:R:3 pbc="T T T"
Ce 2.5019 -6.6463 -5.4187
Ce 0.9771 -10.1462 -5.9395
Ce -1.3143 -7.1355 -5.2108
Ce 0.9620 -8.5398 -2.4373
Sm 0.2105 -3.6356 -4.6900
Sm -1.3294 -5.5291 -1.7086
Sm 2.4868 -5.0399 -1.9166
Sm 0.1954 -2.0292 -1.1879
O 2.5120 -8.6215 -6.4272
O 1.1210 -10.3319 -3.7341
O 0.4423 -5.9019 -5.7690
O -0.9351 -9.0634 -6.2394
O 0.0000 0.0000 0.0000
O -0.5579 -11.6709 -5.4517
O -0.5443 -13.1219 -8.6152
O 1.5119 -14.3904 -6.1099
O 2.8892 -11.2290 -5.6395
O 0.8331 -9.9604 -8.1448
O 0.3908 -4.0585 -2.3758
O -0.9487 -7.6124 -3.0759
O 2.9028 -12.6800 -8.8030
O 2.4984 -7.1705 -3.2637
```

For the size of the total moment, the calculation gives 0.000 μB per cell. As for the space group: No. 227. The volume comes out at 324 Å³/cell. The formation energy without anion corrections comes out at -3379 meV per atom.